Ce2NdAs2Rh7 PBE relaxed; E = -7.16 eV per atom; energy of formation = -824 kJ/mol of formula units; space-group type = C2/m (12)
1.0
2.922 -2.906 0.000
2.922 2.906 0.000
-2.730 0.000 12.974
Ce Nd As Rh
2 1 2 7
Cartesian
-0.034 0.000 4.501
3.148 0.000 8.474
0.000 0.000 0.000
0.197 0.000 9.506
2.917 0.000 3.468
1.460 1.454 2.173
0.234 0.000 6.995
1.654 1.454 10.801
2.922 0.000 0.000
1.460 -1.454 2.173
2.880 0.000 5.979
1.654 -1.454 10.801

---

CeNd2As3Rh4 PBE relaxed; E = -6.83 eV per atom; energy of formation = -916 kJ/mol of formula units; space-group type = P-4m2 (115)
1.0
4.198 0.000 0.000
0.000 4.198 0.000
0.000 0.000 11.270
Ce Nd As Rh
1 2 3 4
Cartesian
0.000 0.000 0.000
0.000 2.099 8.079
2.099 0.000 3.191
0.000 2.099 4.162
2.099 0.000 7.108
2.099 2.099 0.000
0.000 0.000 5.635
0.000 2.099 1.700
2.099 0.000 9.570
2.099 2.099 5.635